1.
This record from the Alexandria database describes a relaxed structure of La3Tb2Tl7. The functional is PBE.

Calculated values
Total magnetization, μB/atom: 0.00
ΔE_f, eV/atom: -0.171

```
data_La3Tb2Tl7
_symmetry_space_group_name_H-M 'C m m m'
_symmetry_Int_Tables_number 65
_symmetry_space_group_name_Hall '-C 2 2'
_cell_length_a 5.541
_cell_length_b 24.096
_cell_length_c 5.771
_cell_angle_alpha 90.00
_cell_angle_beta 90.00
_cell_angle_gamma 90.00
loop_
_atom_site_label
_atom_site_type_symbol
_atom_site_fract_x
_atom_site_fract_y
_atom_site_fract_z
La1 La 0.000 0.000 0.000
La2 La 0.000 0.167 0.000
Tb1 Tb 0.000 0.358 0.500
Tl1 Tl 0.000 0.077 0.500
Tl2 Tl 0.000 0.227 0.500
Tl3 Tl 0.000 0.415 0.000
Tl4 Tl 0.000 0.500 0.500
```


2.
This record from the Alexandria database describes a relaxed structure of RbCaHfCr2. The functional is PBE.

Calculated values
Total magnetization, μB/atom: 1.25
ΔE_f, eV/atom: 1.295

```
data_RbCaHfCr2
_symmetry_space_group_name_H-M 'P 4/m m m'
_symmetry_Int_Tables_number 123
_symmetry_space_group_name_Hall '-P 4 2'
_cell_length_a 5.147
_cell_length_b 5.147
_cell_length_c 5.954
_cell_angle_alpha 90.00
_cell_angle_beta 90.00
_cell_angle_gamma 90.00
loop_
_atom_site_label
_atom_site_type_symbol
_atom_site_fract_x
_atom_site_fract_y
_atom_site_fract_z
Rb1 Rb 0.000 0.000 0.000
Ca1 Ca 0.500 0.500 0.000
Hf1 Hf 0.500 0.500 0.500
Cr1 Cr 0.000 0.500 0.500
```


3.
This record from the Alexandria database describes a relaxed structure of NaSmPtAu. The functional is PBE.

Calculated values
Total magnetization, μB/atom: 0.00
ΔE_f, eV/atom: -0.642

```
data_NaSmPtAu
_symmetry_space_group_name_H-M 'F -4 3 m'
_symmetry_Int_Tables_number 216
_symmetry_space_group_name_Hall 'F -4 2 3'
_cell_length_a 7.036
_cell_length_b 7.036
_cell_length_c 7.036
_cell_angle_alpha 90.00
_cell_angle_beta 90.00
_cell_angle_gamma 90.00
loop_
_atom_site_label
_atom_site_type_symbol
_atom_site_fract_x
_atom_site_fract_y
_atom_site_fract_z
Na1 Na 0.000 0.000 0.000
Sm1 Sm 0.000 0.000 0.500
Pt1 Pt 0.250 0.250 0.750
Au1 Au 0.250 0.250 0.250
```


4.
This record from the Alexandria database describes a relaxed structure of Pr2ScGa. The functional is PBE.

Calculated values
Total magnetization, μB/atom: 0.22
ΔE_f, eV/atom: -0.136
Relative energy among the computed polymorphs, eV per formula unit: 0.36

```
data_Pr2ScGa
_symmetry_space_group_name_H-M 'F m -3 m'
_symmetry_Int_Tables_number 225
_symmetry_space_group_name_Hall '-F 4 2 3'
_cell_length_a 7.598
_cell_length_b 7.598
_cell_length_c 7.598
_cell_angle_alpha 90.00
_cell_angle_beta 90.00
_cell_angle_gamma 90.00
loop_
_atom_site_label
_atom_site_type_symbol
_atom_site_fract_x
_atom_site_fract_y
_atom_site_fract_z
Pr1 Pr 0.250 0.250 0.250
Sc1 Sc 0.000 0.000 0.000
Ga1 Ga 0.000 0.000 0.500
```


5.
This record from the Alexandria database describes a relaxed structure of Ce2U4As3N2. The functional is PBE.

Calculated values
Total magnetization, μB/atom: 1.21
Energy relative to the elements, uncorrected, kcal/mol of atoms: -19.94

```
data_Ce2U4As3N2
_symmetry_space_group_name_H-M 'I 4/m m m'
_symmetry_Int_Tables_number 139
_symmetry_space_group_name_Hall '-I 4 2'
_cell_length_a 4.487
_cell_length_b 4.487
_cell_length_c 24.394
_cell_angle_alpha 90.00
_cell_angle_beta 90.00
_cell_angle_gamma 90.00
loop_
_atom_site_label
_atom_site_type_symbol
_atom_site_fract_x
_atom_site_fract_y
_atom_site_fract_z
Ce1 Ce 0.000 0.000 0.200
U1 U 0.000 0.500 0.082
As1 As 0.000 0.000 0.329
As2 As 0.000 0.000 0.500
N1 N 0.000 0.000 0.098
```


6.
This record from the Alexandria database describes a relaxed structure of CeNdTm2In4. The functional is PBE.

Calculated values
Total magnetization, μB/atom: 0.12
ΔE_f, eV/atom: -0.422

```
data_CeNdTm2In4
_symmetry_space_group_name_H-M 'R -3 m'
_symmetry_Int_Tables_number 166
_symmetry_space_group_name_Hall '-R 3 2"'
_cell_length_a 5.3632
_cell_length_b 5.3632
_cell_length_c 26.3606
_cell_angle_alpha 90.00
_cell_angle_beta 90.00
_cell_angle_gamma 120.00
loop_
_atom_site_label
_atom_site_type_symbol
_atom_site_fract_x
_atom_site_fract_y
_atom_site_fract_z
Ce1 Ce 0.0000 0.0000 0.0000
Nd1 Nd 0.0000 0.0000 0.5000
Tm1 Tm 0.0000 0.0000 0.2501
In1 In 0.0000 0.0000 0.1250
In2 In 0.0000 0.0000 0.3750
```


7.
This record from the Alexandria database describes a relaxed structure of BaYCr. The functional is PBE.

Calculated values
Total magnetization, μB/atom: 1.33
ΔE_f, eV/atom: 1.297
Relative energy among the computed polymorphs, eV per formula unit: 2.38

```
data_BaYCr
_symmetry_space_group_name_H-M 'F -4 3 m'
_symmetry_Int_Tables_number 216
_symmetry_space_group_name_Hall 'F -4 2 3'
_cell_length_a 7.491
_cell_length_b 7.491
_cell_length_c 7.491
_cell_angle_alpha 90.00
_cell_angle_beta 90.00
_cell_angle_gamma 90.00
loop_
_atom_site_label
_atom_site_type_symbol
_atom_site_fract_x
_atom_site_fract_y
_atom_site_fract_z
Ba1 Ba 0.000 0.000 0.000
Y1 Y 0.250 0.250 0.750
Cr1 Cr 0.250 0.250 0.250
```


8.
This record from the Alexandria database describes a relaxed structure of Ce2Pr5Bi4. The functional is PBE.

Calculated values
Total magnetization, μB/atom: 0.19
ΔE_f, eV/atom: -0.157

```
data_Ce2Pr5Bi4
_symmetry_space_group_name_H-M 'C 1 2/m 1'
_symmetry_Int_Tables_number 12
_symmetry_space_group_name_Hall '-C 2y'
_cell_length_a 24.685
_cell_length_b 4.365
_cell_length_c 7.773
_cell_angle_alpha 90.00
_cell_angle_beta 97.57
_cell_angle_gamma 90.00
loop_
_atom_site_label
_atom_site_type_symbol
_atom_site_fract_x
_atom_site_fract_y
_atom_site_fract_z
Ce1 Ce 0.243 0.000 0.392
Pr1 Pr 0.000 0.000 0.500
Pr2 Pr 0.139 0.500 0.550
Pr3 Pr 0.171 0.500 0.036
Bi1 Bi 0.049 0.500 0.803
Bi2 Bi 0.108 0.000 0.248
```


9.
This record from the Alexandria database describes a relaxed structure of BaZn2Br. The functional is PBE.

Calculated values
Total magnetization, μB/atom: 0.00
Energy relative to the elements, uncorrected, kcal/mol of atoms: -6.79
Relative energy among the computed polymorphs, eV per formula unit: 1.33

```
data_BaZn2Br
_symmetry_space_group_name_H-M 'F m -3 m'
_symmetry_Int_Tables_number 225
_symmetry_space_group_name_Hall '-F 4 2 3'
_cell_length_a 7.885
_cell_length_b 7.885
_cell_length_c 7.885
_cell_angle_alpha 90.00
_cell_angle_beta 90.00
_cell_angle_gamma 90.00
loop_
_atom_site_label
_atom_site_type_symbol
_atom_site_fract_x
_atom_site_fract_y
_atom_site_fract_z
Ba1 Ba 0.000 0.000 0.000
Zn1 Zn 0.250 0.250 0.250
Br1 Br 0.000 0.000 0.500
```


10.
This record from the Alexandria database describes a relaxed structure of K2Cr4Cl. The functional is PBE.

Calculated values
Total magnetization, μB/atom: 2.81
Energy relative to the elements, uncorrected, kcal/mol of atoms: 27.51

```
data_K2Cr4Cl
_symmetry_space_group_name_H-M 'I 4/m m m'
_symmetry_Int_Tables_number 139
_symmetry_space_group_name_Hall '-I 4 2'
_cell_length_a 4.895
_cell_length_b 4.895
_cell_length_c 19.854
_cell_angle_alpha 90.00
_cell_angle_beta 90.00
_cell_angle_gamma 90.00
loop_
_atom_site_label
_atom_site_type_symbol
_atom_site_fract_x
_atom_site_fract_y
_atom_site_fract_z
K1 K 0.000 0.000 0.178
Cr1 Cr 0.000 0.000 0.371
Cr2 Cr 0.000 0.500 0.000
Cl1 Cl 0.000 0.000 0.500
```


11.
This record from the Alexandria database describes a relaxed structure of IrRu. The functional is PBE.

Calculated values
Total magnetization, μB/atom: 0.00
ΔE_f, eV/atom: 1.060
Relative energy among the computed polymorphs, eV per formula unit: 2.23

```
data_IrRu
_symmetry_space_group_name_H-M 'F m -3 m'
_symmetry_Int_Tables_number 225
_symmetry_space_group_name_Hall '-F 4 2 3'
_cell_length_a 5.097
_cell_length_b 5.097
_cell_length_c 5.097
_cell_angle_alpha 90.00
_cell_angle_beta 90.00
_cell_angle_gamma 90.00
loop_
_atom_site_label
_atom_site_type_symbol
_atom_site_fract_x
_atom_site_fract_y
_atom_site_fract_z
Ir1 Ir 0.000 0.000 0.000
Ru1 Ru 0.000 0.000 0.500
```


12.
This record from the Alexandria database describes a relaxed structure of Er2TmCd. The functional is PBE.

Calculated values
Total magnetization, μB/atom: 0.00
ΔE_f, eV/atom: -0.016
Relative energy among the computed polymorphs, eV per formula unit: 0.50

```
data_Er2TmCd
_symmetry_space_group_name_H-M 'F m -3 m'
_symmetry_Int_Tables_number 225
_symmetry_space_group_name_Hall '-F 4 2 3'
_cell_length_a 7.615
_cell_length_b 7.615
_cell_length_c 7.615
_cell_angle_alpha 90.00
_cell_angle_beta 90.00
_cell_angle_gamma 90.00
loop_
_atom_site_label
_atom_site_type_symbol
_atom_site_fract_x
_atom_site_fract_y
_atom_site_fract_z
Er1 Er 0.250 0.250 0.250
Tm1 Tm 0.000 0.000 0.000
Cd1 Cd 0.000 0.000 0.500
```


13.
This record from the Alexandria database describes a relaxed structure of YSb3C. The functional is PBE.

Calculated values
Total magnetization, μB/atom: 0.00
Energy relative to the elements, uncorrected, kcal/mol of atoms: 10.65
Relative energy among the computed polymorphs, eV per formula unit: 0.00

```
data_YSb3C
_symmetry_space_group_name_H-M 'P m -3 m'
_symmetry_Int_Tables_number 221
_symmetry_space_group_name_Hall '-P 4 2 3'
_cell_length_a 4.851
_cell_length_b 4.851
_cell_length_c 4.851
_cell_angle_alpha 90.00
_cell_angle_beta 90.00
_cell_angle_gamma 90.00
loop_
_atom_site_label
_atom_site_type_symbol
_atom_site_fract_x
_atom_site_fract_y
_atom_site_fract_z
Y1 Y 0.000 0.000 0.000
Sb1 Sb 0.000 0.500 0.500
C1 C 0.500 0.500 0.500
```